A plane-wave DFT calculation with PBE was carried out for an optimized crystal structure of Cr4TcRh.

a = 4.7364 Å, b = 4.7364 Å, c = 4.7364 Å
α = 60.00°, β = 60.00°, γ = 60.00°
Positions (direct):
Cr 0.3741 0.8777 0.3741
Rh 0.7500 0.7500 0.7500
Cr 0.3741 0.3741 0.8777
Cr 0.3741 0.3741 0.3741
Tc 0.0000 0.0000 0.0000
Cr 0.8777 0.3741 0.3741

total energy = -9.3812 eV per atom
crystal system = cubic
space group = F-43m